1.
A plane-wave DFT calculation with PBE-GGA was carried out for a geometry-optimized La2MnFeSi structure.

```
La2MnFeSi
1.0
5.6555 0.0000 0.0000
0.0000 4.2351 0.0000
0.0000 0.0000 5.6555
Mn La Si Fe
1 2 1 1
direct
0.5000 0.5000 0.5000 Mn
0.5000 0.0000 0.0000 La
0.0000 0.0000 0.5000 La
0.0000 0.0000 0.0000 Si
0.0000 0.5000 0.0000 Fe
```

Summary:
- Uncorrected formation energy: 0.768 eV/atom

2.
A plane-wave DFT calculation with PBE-GGA was carried out for a geometry-optimized SrLaMn2Fe structure.

```
SrLaMn2Fe
1.0
-3.6866 -2.8599 -1.4212
0.2144 -2.4822 4.4390
-3.1869 3.1550 1.9181
Mn Sr Fe La
2 1 1 1
direct
0.0000 0.0000 0.5000 Mn
0.5000 0.0000 0.0000 Mn
0.0000 0.5000 0.0000 Sr
0.0000 0.0000 0.0000 Fe
0.5000 0.5000 0.5000 La
```

Summary:
- Energy of formation: 0.731 eV/atom

3.
A plane-wave DFT calculation with PBE-GGA was carried out for a geometry-optimized SrLaMnFe2 structure.

```
SrLaMnFe2
1.0
4.4945 0.0000 0.0000
0.0000 5.4247 0.0000
0.0000 0.0000 4.4945
Fe Sr Mn La
2 1 1 1
direct
0.5000 0.0000 0.0000 Fe
0.0000 0.0000 0.5000 Fe
0.0000 0.0000 0.0000 Sr
0.5000 0.5000 0.5000 Mn
0.0000 0.5000 0.0000 La
```

Summary:
- Energy of formation: 2.541 eV/atom

4.
A plane-wave DFT calculation with PBE-GGA was carried out for a geometry-optimized LaTaMnFe2 structure.

```
LaTaMnFe2
1.0
-0.5241 -1.7717 -3.8675
0.8468 -4.3303 1.8690
-4.1860 -0.4791 0.7867
Fe Ta Mn La
2 1 1 1
direct
0.0000 0.0000 0.5000 Fe
0.5000 0.0000 0.0000 Fe
0.5000 0.5000 0.5000 Ta
0.0000 0.0000 0.0000 Mn
0.0000 0.5000 0.0000 La
```

Summary:
- Energy of formation: 1.236 eV/atom

Magnetic moment, record by record: 1.76, 8.23, 0.01, 0.00 μB per formula unit